{
  "formula": "CeMgRu",
  "functional": "GGA-PBE",
  "state": "optimized geometry",
  "cell": [[-4.9282, -0.8230, 0.4544], [0.8726, -4.9812, 0.4610], [1.3411, 3.2676, 4.8097]],
  "species": ["Ce", "Ce", "Mg", "Mg", "Ru", "Ru"],
  "fractional_positions": [[0.6728, 0.8742, 0.7422], [0.3315, 0.1335, 0.2609], [0.8046, 0.5886, 0.1712], [0.2003, 0.4190, 0.8320], [0.8140, 0.1884, 0.3708], [0.1903, 0.8194, 0.6325]],
  "energy_ev_per_cell": -35.45,
  "e_form_ev_per_atom": -0.307
}